A relaxed structure of Re2AsOs, computed with PBEsol.

## Properties
As for the energy relative to the elements: 0.264 eV/atom. Its size of the total moment is 0.000 Bohr magnetons per cell. For the calculated total energy, the calculation gives -10.733 eV per atom.

Cell lengths 2.9180, 4.4064, 5.1588 Å; angles 115.28, 106.43, 90.00 degrees
Closest atoms and distances in Å follow each position.
Fractional coordinates of all 4 atoms:
Os1 0.7776 0.2776 0.5553  2 As 2.44, 4 Re 2.69
Re1 0.0001 0.0001 0.0003  4 As 2.64, 4 Re 2.85-2.92, 4 Os 2.86-2.96
Re2 0.2235 0.7235 0.4469  2 As 2.47, 4 Os 2.69
As1 0.4988 0.4988 0.9975  2 Os 2.44, 6 Re 2.47-2.64

---

A relaxed structure of Re2AsOs, computed with PBEsol.

## Properties
As for the energy relative to the elements: 0.177 eV/atom. Its size of the total moment is 0.000 Bohr magnetons per cell. For the calculated total energy, the calculation gives -10.820 eV per atom.

Cell lengths 2.8963, 2.8963, 6.7838 Å; angles 90.00, 90.00, 90.00 degrees
Closest atoms and distances in Å follow each position.
Fractional coordinates of all 4 atoms:
Re1 0.0000 0.0000 0.0017  8 Re 2.72-2.90, 4 Os 2.73
Re2 0.5000 0.5000 0.2649  4 As 2.59, 8 Re 2.72-2.90
Os1 0.5000 0.5000 0.7345  4 As 2.60, 4 Re 2.73, 4 Os 2.90
As1 0.0000 0.0000 0.4989  4 Re 2.59, 4 Os 2.60, 4 As 2.90

---

A relaxed structure of ReAsOs2, computed with PBEsol.

## Properties
As for the energy relative to the elements: 0.323 eV/atom. Its size of the total moment is 0.000 Bohr magnetons per cell. For the calculated total energy, the calculation gives -10.394 eV per atom.

Cell lengths 2.8948, 4.3931, 5.1635 Å; angles 115.18, 106.28, 90.00 degrees
Closest atoms and distances in Å follow each position.
Fractional coordinates of all 4 atoms:
Os1 0.7239 0.7239 0.4478  2 As 2.46, 4 Os 2.67
Os2 0.2761 0.2761 0.5522  2 As 2.46, 4 Os 2.67
Re1 0.5000 0.0000 0.0000  4 As 2.63, 4 Os 2.85, 2 Re 2.89
As1 0.0000 0.5000 0.0000  4 Os 2.46, 4 Re 2.63

---

A relaxed structure of ReAsOs2, computed with PBEsol.

## Properties
As for the energy relative to the elements: 0.566 eV/atom. Its size of the total moment is 0.000 Bohr magnetons per cell. For the calculated total energy, the calculation gives -10.151 eV per atom.

Cell lengths 3.8711, 3.8711, 4.6945 Å; angles 114.35, 114.35, 90.00 degrees
Closest atoms and distances in Å follow each position.
Fractional coordinates of all 4 atoms:
Re1 0.5000 0.5000 0.0000  4 As 2.72, 8 Os 2.72-2.74
As1 0.2500 0.7500 0.5000  4 Re 2.72, 8 Os 2.72-2.74
Os1 0.0000 0.0000 0.0000  4 Os 2.72, 4 As 2.72, 4 Re 2.74
Os2 0.7500 0.2500 0.5000  4 Os 2.72, 4 Re 2.72, 4 As 2.74

---

A relaxed structure of Re2AsOs, computed with PBEsol.

## Properties
As for the energy relative to the elements: 0.482 eV/atom. Its size of the total moment is 0.000 Bohr magnetons per cell. For the calculated total energy, the calculation gives -10.514 eV per atom.

Cell lengths 2.9409, 4.4307, 4.4773 Å; angles 90.00, 90.00, 90.00 degrees
Closest atoms and distances in Å follow each position.
Fractional coordinates of all 4 atoms:
Re1 0.0000 0.0000 0.0000  6 Re 2.66-2.94, 4 As 2.68
Re2 0.5000 0.5000 0.0000  6 Re 2.66-2.94, 4 Os 2.68
Os1 0.0000 0.5000 0.5000  4 As 2.66, 4 Re 2.68, 2 Os 2.94
As1 0.5000 0.0000 0.5000  4 Os 2.66, 4 Re 2.68, 2 As 2.94

---

A relaxed structure of ReAs2Os, computed with PBEsol.

## Properties
As for the energy relative to the elements: 0.714 eV/atom. Its size of the total moment is 0.000 Bohr magnetons per cell. For the calculated total energy, the calculation gives -8.226 eV per atom.

Cell lengths 2.9418, 2.9418, 8.1008 Å; angles 90.00, 90.00, 119.12 degrees
Closest atoms and distances in Å follow each position.
Fractional coordinates of all 4 atoms:
As1 0.0000 0.0000 0.7496  2 Os 2.51, 2 Re 2.52
As2 0.0000 0.0000 0.2504  2 Os 2.51, 2 Re 2.52
Re1 0.5000 0.5000 0.0000  4 As 2.52
Os1 0.5000 0.5000 0.5000  4 As 2.51

---

A relaxed structure of As2OsRh, computed with PBEsol.

## Properties
As for the energy relative to the elements: 0.411 eV/atom. Its size of the total moment is 0.000 Bohr magnetons per cell. The relative energy among the computed polymorphs is 406.9 meV/atom. For the calculated total energy, the calculation gives -7.231 eV per atom.

Cell lengths 2.9188, 5.0589, 5.0589 Å; angles 59.38, 73.23, 73.23 degrees
Closest atoms and distances in Å follow each position.
Fractional coordinates of all 4 atoms:
Os1 0.5000 0.0000 0.0000  4 As 2.53
Rh1 0.0000 0.5000 0.5000  4 As 2.54
As1 0.7511 0.2489 0.2489  2 Os 2.53, 2 Rh 2.54
As2 0.2489 0.7511 0.7511  2 Os 2.53, 2 Rh 2.54

---

A relaxed structure of As2OsRh, computed with PBEsol.

## Properties
As for the energy relative to the elements: 0.004 eV/atom. Its size of the total moment is 0.000 Bohr magnetons per cell. The relative energy among the computed polymorphs is 0.0 meV/atom. For the calculated total energy, the calculation gives -7.638 eV per atom.

Cell lengths 2.9619, 2.9619, 7.8892 Å; angles 79.18, 79.18, 60.00 degrees
Closest atoms and distances in Å follow each position.
Fractional coordinates of all 4 atoms:
Rh1 0.0000 0.0000 0.0000  6 As 2.58
As1 0.2499 0.2499 0.2504  3 Os 2.57, 3 Rh 2.58
As2 0.7501 0.7501 0.7496  3 Os 2.57, 3 Rh 2.58
Os1 0.5000 0.5000 0.5000  6 As 2.57

---

A relaxed structure of As2OsRh, computed with PBEsol.

## Properties
As for the energy relative to the elements: 0.025 eV/atom. Its size of the total moment is 0.000 Bohr magnetons per cell. The relative energy among the computed polymorphs is 21.4 meV/atom. For the calculated total energy, the calculation gives -7.616 eV per atom.

Cell lengths 3.1728, 4.5800, 4.5200 Å; angles 103.26, 90.00, 110.27 degrees
Closest atoms and distances in Å follow each position.
Fractional coordinates of all 4 atoms:
As1 0.2446 0.4891 0.6861  3 Os 2.50-2.53, 2 Rh 2.71
As2 0.0069 0.0138 0.0963  3 Rh 2.43-2.48, 2 Os 2.59
Os1 0.5131 0.0262 0.5511  5 As 2.50-2.59
Rh1 0.7354 0.4708 0.1665  5 As 2.43-2.71

---

A relaxed structure of As3OsRh, computed with PBEsol.

## Properties
As for the energy relative to the elements: 1.037 eV/atom. Its size of the total moment is 0.000 Bohr magnetons per cell. For the calculated total energy, the calculation gives -6.098 eV per atom.

Cell lengths 4.6828, 4.6828, 4.6828 Å; angles 90.00, 90.00, 90.00 degrees
Closest atoms and distances in Å follow each position.
Fractional coordinates of all 5 atoms:
Os1 0.0000 0.0000 0.0000  6 As 2.34
As1 0.0000 0.5000 0.0000  2 Os 2.34
As2 0.0000 0.0000 0.5000  2 Os 2.34
As3 0.5000 0.0000 0.0000  2 Os 2.34
Rh1 0.5000 0.5000 0.5000  12 As 3.31

---

A relaxed structure of As2OsRh, computed with PBEsol.

## Properties
As for the energy relative to the elements: 0.161 eV/atom. Its size of the total moment is 0.001 Bohr magnetons per cell. The relative energy among the computed polymorphs is 157.2 meV/atom. For the calculated total energy, the calculation gives -7.481 eV per atom.

Cell lengths 4.2287, 4.4062, 4.2287 Å; angles 61.32, 90.00, 118.68 degrees
Closest atoms and distances in Å follow each position.
Fractional coordinates of all 4 atoms:
As1 0.7500 0.5000 0.7500  4 Os 2.66, 4 Rh 2.66
As2 0.2500 0.5000 0.2500  4 Os 2.66, 4 Rh 2.66
Os1 0.5000 0.0000 0.5000  8 As 2.66
Rh1 0.0000 0.0000 0.0000  8 As 2.66

---

A relaxed structure of As2OsRhSe, computed with PBEsol.

## Properties
Its size of the total moment is 0.000 Bohr magnetons per cell. As for the formation energy (no corrections): 1083 meV per atom. For the calculated total energy, the calculation gives -5.800 eV per atom.

Cell lengths 4.5908, 4.5908, 5.0232 Å; angles 90.00, 90.00, 90.00 degrees
Closest atoms and distances in Å follow each position.
Fractional coordinates of all 5 atoms:
As1 0.0000 0.5000 0.0000  2 Os 2.30
As2 0.5000 0.0000 0.0000  2 Os 2.30
Se1 0.0000 0.0000 0.5000  2 Os 2.51
Rh1 0.5000 0.5000 0.5000  4 Se 3.25, 8 As 3.40
Os1 0.0000 0.0000 0.0000  4 As 2.30, 2 Se 2.51

---

Q: What is the formula in the fourth record?
A: ReAsOs2

---

Please write out number 4 again, unchanged.
A relaxed structure of ReAsOs2, computed with PBEsol.

## Properties
As for the energy relative to the elements: 0.566 eV/atom. Its size of the total moment is 0.000 Bohr magnetons per cell. For the calculated total energy, the calculation gives -10.151 eV per atom.

Cell lengths 3.8711, 3.8711, 4.6945 Å; angles 114.35, 114.35, 90.00 degrees
Closest atoms and distances in Å follow each position.
Fractional coordinates of all 4 atoms:
Re1 0.5000 0.5000 0.0000  4 As 2.72, 8 Os 2.72-2.74
As1 0.2500 0.7500 0.5000  4 Re 2.72, 8 Os 2.72-2.74
Os1 0.0000 0.0000 0.0000  4 Os 2.72, 4 As 2.72, 4 Re 2.74
Os2 0.7500 0.2500 0.5000  4 Os 2.72, 4 Re 2.72, 4 As 2.74

---

Q: Which of these has the highest calculated total energy?
A: As2OsRhSe

---

Q: Which value of size of the total moment does entry 11 give?
A: 0.001 Bohr magnetons per cell